# 1
A plane-wave DFT calculation with PBE was carried out for crystalline ScTc3Mo at its relaxed geometry.

Output
ΔE_f = 1.13 eV per atom
Total magnetic moment = 0.0 μB per cell
Distance to the lowest polymorph of the same formula = 0.0000 eV/atom

The structure in POSCAR format:
```
ScTc3Mo
1.0
-3.7127 2.1053 1.8833
-0.4599 -3.5194 3.0275
2.7870 2.2237 3.0084
Mo Tc Sc
1 3 1
Direct
0.0000 0.0000 0.0000
0.0000 0.0000 0.5000
0.0000 0.5000 0.0000
0.5000 0.0000 0.0000
0.5000 0.5000 0.5000
```

---

# 2
A plane-wave DFT calculation with PBE was carried out for crystalline CsGeP2S at its relaxed geometry.

Output
Formation energy from raw total energies = 1.889 eV/atom
Total magnetic moment = 1.5 μB per cell

The structure in POSCAR format:
```
CsGeP2S
1.0
-2.7457 -4.7179 1.3514
3.8545 -1.1147 3.9401
-2.8501 2.6740 3.5447
P S Ge Cs
2 1 1 1
Direct
0.5000 0.0000 0.0000
0.0000 0.5000 0.0000
0.0000 0.0000 0.5000
0.5000 0.5000 0.5000
0.0000 0.0000 0.0000
```